Computed, not measured: ScMnNO2 after structural relaxation at the GGA+U level of DFT.

Lattice parameters (Å, degrees): 3.6839 3.6839 3.8890 90.00 90.00 90.00
With the nearest neighbours (Å) after each atom.
Atoms (fractional coordinates):
Sc: 0.5000 0.5000 0.5000  4 N 2.60, 8 O 2.68
Mn: 0.0000 0.0000 0.0000  4 O 1.84, 2 N 1.94
O: 0.0000 0.5000 0.0000  2 Mn 1.84
O: 0.5000 0.0000 0.0000  2 Mn 1.84
N: 0.0000 0.0000 0.5000  2 Mn 1.94

DFT total energy = -7.61 eV/atom
Space-group type = P4/mmm (123)